ZrP3: optimized geometry, PBE.

As for the calculated total energy: -6.317 eV per atom. The calculation puts the density of states at the Fermi level at 3.1 states/eV/f.u. The formation energy from the elements is -2.82 kcal/mol of atoms.

The space group is P4/mmm (No. 123) and the conventional cell measures 4.3587, 4.3587 and 3.4242 Å, with angles of 90.00, 90.00 and 90.00 degrees. The inequivalent atoms are Zr at (0.0000, 0.0000, 0.0000), P at (0.0000, 0.5000, 0.5000) and P at (0.5000, 0.5000, 0.0000).


ZrP4: optimized geometry, PBE.

As for the calculated total energy: -6.136 eV per atom. The calculation puts the energy above the most stable polymorph in this dataset at 230 meV per atom. The calculation puts the density of states at the Fermi level at 3.2 states/eV/f.u. The formation energy from the elements is -2.28 kcal/mol of atoms.

The space group is I4/mmm (No. 139) and the conventional cell measures 3.4090, 3.4090 and 17.3154 Å, with angles of 90.00, 90.00 and 90.00 degrees. The inequivalent atoms are Zr at (0.0000, 0.0000, 0.0000), P at (0.0000, 0.0000, 0.4330) and P at (0.0000, 0.5000, 0.2500).


ZrP3: optimized geometry, PBE.

As for the calculated total energy: -6.677 eV per atom. The calculation puts the density of states at the Fermi level at 2.1 states/eV/f.u. The formation energy from the elements is -11.12 kcal/mol of atoms.

The space group is Pnma (No. 62) and the conventional cell measures 7.3793, 7.5567 and 4.9899 Å, with angles of 90.00, 90.00 and 90.00 degrees. The inequivalent atoms are Zr at (0.0560, 0.2500, 0.1318), P at (0.0888, 0.7500, 0.3747) and P at (0.2434, 0.5044, 0.8760).


Zr2P: optimized geometry, PBE.

As for the calculated total energy: -7.188 eV per atom. The calculation puts the density of states at the Fermi level at 2.2 states/eV/f.u. The formation energy from the elements is 7.24 kcal/mol of atoms.

The space group is Fd-3m (No. 227, origin choice 2) and the conventional cell measures 7.9265, 7.9265 and 7.9265 Å, with angles of 90.00, 90.00 and 90.00 degrees. The inequivalent atoms are Zr at (0.0000, 0.0000, 0.0000) and P at (0.1250, 0.1250, 0.6250).


ZrP3: optimized geometry, PBE.

As for the calculated total energy: -6.604 eV per atom. The calculation puts the density of states at the Fermi level at 1.7 states/eV/f.u. The formation energy from the elements is -9.44 kcal/mol of atoms.

The space group is Pmm2 (No. 25) and the conventional cell measures 3.5630, 5.3549 and 3.8315 Å, with angles of 90.00, 90.00 and 90.00 degrees. The inequivalent atoms are Zr at (0.0000, 0.0000, 0.0000), P at (0.0000, 0.5000, 0.9432), P at (0.5000, 0.0000, 0.4981) and P at (0.5000, 0.5000, 0.3168).


Zr2P: optimized geometry, PBE.

As for the calculated total energy: -8.336 eV per atom. The calculation puts the density of states at the Fermi level at 3.0 states/eV/f.u. The formation energy from the elements is -19.23 kcal/mol of atoms.

The space group is Pa-3 (No. 205) and the conventional cell measures 6.2832, 6.2832 and 6.2832 Å, with angles of 90.00, 90.00 and 90.00 degrees. The inequivalent atoms are Zr at (0.1424, 0.1424, 0.1424) and P at (0.0000, 0.0000, 0.5000).


ZrP: optimized geometry, PBE.

As for the calculated total energy: -7.811 eV per atom. The calculation puts the density of states at the Fermi level at 1.0 states/eV/f.u. The formation energy from the elements is -19.18 kcal/mol of atoms.

The space group is Amm2 (No. 38) and the conventional cell measures 3.7150, 11.9049 and 6.9564 Å, with angles of 90.00, 90.00 and 90.00 degrees. The inequivalent atoms are Zr at (0.0000, 0.0000, 0.0000), Zr at (0.5000, 0.2091, 0.8192), P at (0.0000, 0.2123, 0.0867) and P at (0.5000, 0.0000, 0.7451).


Zr2P: optimized geometry, PBE.

As for the calculated total energy: -8.280 eV per atom. The calculation puts the density of states at the Fermi level at 1.6 states/eV/f.u. The formation energy from the elements is -17.94 kcal/mol of atoms.

The space group is I4_1/amd (No. 141, origin choice 2) and the conventional cell measures 5.0924, 5.0924 and 10.2183 Å, with angles of 90.00, 90.00 and 90.00 degrees. The inequivalent atoms are Zr at (0.0000, 0.2500, 0.1211) and P at (0.0000, 0.2500, 0.8750).


ZrP5: optimized geometry, PBE.

As for the calculated total energy: -5.909 eV per atom. The calculation puts the density of states at the Fermi level at 3.4 states/eV/f.u. The formation energy from the elements is 0.56 kcal/mol of atoms.

The space group is P-62m (No. 189) and the conventional cell measures 4.8114, 4.8114 and 5.0192 Å, with angles of 90.00, 90.00 and 120.00 degrees. The inequivalent atoms are Zr at (0.0000, 0.0000, 0.0000), P at (0.0000, 0.7300, 0.5000) and P at (0.3333, 0.6667, 0.0000).


Zr4P: optimized geometry, PBE.

As for the calculated total energy: -8.220 eV per atom. The calculation puts the energy above the most stable polymorph in this dataset at 46 meV per atom. The calculation puts the density of states at the Fermi level at 6.7 states/eV/f.u. The formation energy from the elements is -6.91 kcal/mol of atoms.

The space group is Pm-3m (No. 221) and the conventional cell measures 4.9158, 4.9158 and 4.9158 Å, with angles of 90.00, 90.00 and 90.00 degrees. The inequivalent atoms are Zr at (0.0000, 0.0000, 0.0000), Zr at (0.0000, 0.5000, 0.5000) and P at (0.5000, 0.5000, 0.5000).


ZrP5: optimized geometry, PBE.

As for the calculated total energy: -5.677 eV per atom. The calculation puts the density of states at the Fermi level at 4.9 states/eV/f.u. The formation energy from the elements is 5.90 kcal/mol of atoms.

The space group is F-43m (No. 216) and the conventional cell measures 7.1849, 7.1849 and 7.1849 Å, with angles of 90.00, 90.00 and 90.00 degrees. The inequivalent atoms are Zr at (0.0000, 0.0000, 0.0000), P at (0.1230, 0.1230, 0.3770) and P at (0.2500, 0.2500, 0.7500).


ZrP: optimized geometry, PBE.

As for the calculated total energy: -7.633 eV per atom. The calculation puts the density of states at the Fermi level at 1.3 states/eV/f.u. The formation energy from the elements is -15.08 kcal/mol of atoms.

The space group is F-43m (No. 216) and the conventional cell measures 5.8692, 5.8692 and 5.8692 Å, with angles of 90.00, 90.00 and 90.00 degrees. The inequivalent atoms are Zr at (0.0000, 0.0000, 0.0000) and P at (0.2500, 0.2500, 0.2500).